Record 1
The following is a DFT calculation (PBE) of a geometry-optimized DyY3Tm6Sc2 structure.

ΔH_f (0 K), eV per atom: 0.043
Electronic total energy, eV/atom: -5.25

Lattice parameters (Å, degrees): 6.026 10.427 11.526 90.00 100.01 90.00
Space group C2/m (No. 12)
Asymmetric unit:
Dy 0.000 0.000 0.000 [2 per cell]
Y 0.000 0.167 0.500 [4 per cell]
Y 0.000 0.500 0.500 [2 per cell]
Tm 0.246 0.500 0.243 [4 per cell]
Tm 0.249 0.168 0.244 [8 per cell]
Sc 0.000 0.333 0.000 [4 per cell]

Record 2
The following is a DFT calculation (PBE) of a geometry-optimized Sr3FeH structure.

Electronic total energy, eV/atom: -3.08

Lattice parameters (Å, degrees): 5.258 5.258 5.258 90.00 90.00 90.00
Space group Pm-3m (No. 221)
Asymmetric unit:
Sr 0.000 0.000 0.500 [3 per cell]
Fe 0.500 0.500 0.500 [1 per cell]
H 0.000 0.000 0.000 [1 per cell]

Record 3
The following is a DFT calculation (PBE) of a geometry-optimized SrHfSe2 structure.

E_form (uncorrected), eV per atom: -1.00
Electronic total energy, eV/atom: -5.65

Lattice parameters (Å, degrees): 6.516 6.516 12.459 90.00 90.00 90.00
Space group I-42d (No. 122)
Asymmetric unit:
Sr 0.000 0.000 0.000 [4 per cell]
Hf 0.000 0.000 0.500 [4 per cell]
Se 0.197 0.250 0.625 [8 per cell]